No. 1
The following is a DFT calculation (PBE) of AlTl4Au4 after structural relaxation.

Raw total energy in eV for the cell shown: -26.582
D(E_F) in states/eV per atom: 0.318

Cell lengths 6.230, 7.482, 6.231 Å; angles 65.40, 90.00, 114.60 degrees
Fractional coordinates of all 9 atoms:
Tl  0.430  0.282  0.568
Tl  0.570  0.718  0.850
Tl  0.148  0.718  0.432
Tl  0.852  0.282  0.150
Au  0.879  0.233  0.648
Au  0.646  0.767  0.352
Au  0.121  0.767  0.880
Au  0.354  0.233  0.120
Al  0.000  0.000  0.000

---

No. 2
The following is a DFT calculation (PBE) of Al3TlAu10 after structural relaxation.

Raw total energy in eV for the cell shown: -97.837
D(E_F) in states/eV per atom: 0.274

Cell lengths 9.446, 9.448, 8.192 Å; angles 64.21, 64.22, 61.05 degrees
Fractional coordinates of all 28 atoms:
Au  0.605  0.604  0.626
Au  0.000  0.000  0.817
Au  0.642  0.033  0.993
Au  0.134  0.575  0.646
Au  0.351  0.650  0.000
Au  0.000  0.000  0.183
Au  0.426  0.866  0.354
Au  0.644  0.031  0.333
Au  0.649  0.350  0.000
Au  0.866  0.425  0.354
Au  0.968  0.357  0.667
Au  0.032  0.643  0.333
Au  0.966  0.358  0.008
Au  0.395  0.396  0.374
Au  0.574  0.134  0.646
Au  0.034  0.642  0.992
Au  0.605  0.604  0.163
Au  0.356  0.969  0.667
Au  0.358  0.967  0.007
Au  0.395  0.396  0.837
Al  0.749  0.250  0.312
Al  0.243  0.244  0.758
Al  0.757  0.756  0.242
Al  0.251  0.750  0.688
Al  0.749  0.251  0.688
Al  0.251  0.749  0.312
Tl  0.759  0.760  0.741
Tl  0.241  0.240  0.259